1.
Material: BaAl2Ge2Au6
Method: DFT, GGA-PBE
State: optimized geometry

Unit cell a=11.049 b=6.868 c=7.779 alpha=90.00 beta=100.57 gamma=90.00
Space group C2/m (No. 12)
One atom of each set of equivalent atoms:
Ba 0.000 0.000 0.000 [2 per cell]
Al 0.137 0.500 0.959 [4 per cell]
Ge 0.138 0.500 0.598 [4 per cell]
Au 0.065 0.500 0.264 [4 per cell]
Au 0.227 0.218 0.799 [8 per cell]

Results
Formation enthalpy at 0 K, eV/atom: -0.282
DFT total energy, eV per atom: -3.764
D(E_F), states/eV per atom: 0.341


2.
Material: KMgAg2
Method: DFT, GGA-PBE
State: optimized geometry

Unit cell a=4.653 b=4.653 c=9.024 alpha=90.00 beta=90.00 gamma=90.00
Space group I-4m2 (No. 119)
One atom of each set of equivalent atoms:
K 0.000 0.000 0.000 [2 per cell]
Mg 0.000 0.500 0.750 [2 per cell]
Ag 0.000 0.000 0.500 [2 per cell]
Ag 0.000 0.500 0.250 [2 per cell]

Results
Formation enthalpy at 0 K, eV/atom: 0.197
DFT total energy, eV per atom: -1.902
D(E_F), states/eV per atom: 0.348


3.
Material: CaTl2F8
Method: DFT, GGA-PBE
State: optimized geometry

Unit cell a=7.0727 b=7.0727 c=4.4607 alpha=90.00 beta=90.00 gamma=120.00
Space group P-3 (No. 147)
One atom of each set of equivalent atoms:
Ca 0.0000 0.0000 0.0000 [1 per cell]
Tl 0.3333 0.6667 0.2555 [2 per cell]
F 0.1606 0.8375 0.2543 [6 per cell]
F 0.3333 0.6667 0.7546 [2 per cell]

Results
DFT total energy, eV per atom: -4.267
Relative energy among the computed polymorphs, eV/atom: 0.087
D(E_F), states/eV per atom: 0.000
Formation energy (no corrections), eV/atom: -2.294


4.
Material: Ba2TcAs
Method: DFT, GGA-PBE
State: optimized geometry

Unit cell a=3.513 b=3.513 c=9.732 alpha=90.00 beta=90.00 gamma=90.00
Space group P4mm (No. 99)
One atom of each set of equivalent atoms:
Ba 0.000 0.000 0.000 [1 per cell]
Ba 0.500 0.500 0.421 [1 per cell]
Tc 0.000 0.000 0.665 [1 per cell]
As 0.500 0.500 0.762 [1 per cell]

Results
Formation enthalpy at 0 K, eV/atom: 0.046
DFT total energy, eV per atom: -4.669
D(E_F), states/eV per atom: 0.929